This record from Alexandria via LeMat-Bulk describes Hf2Nb2F after structural relaxation. The functional is GGA-PBE.

Output
Space-group type: I4/mmm (139)
Excess energy over the best structure of this formula in the dataset, eV/atom: 0.880
Formation energy from raw total energies, meV per atom: 715.6

Lattice parameters (Å, degrees): 3.7947 3.7947 7.7111 75.76 75.76 90.00
Positions (direct):
Nb (0.5827, 0.5827, 0.8346)
Hf (0.7500, 0.2500, 0.5000)
Nb (0.4173, 0.4173, 0.1654)
Hf (0.2500, 0.7500, 0.5000)
F (0.0000, 0.0000, 0.0000)

=====

This record from Alexandria via LeMat-Bulk describes Cr2NiBr after structural relaxation. The functional is GGA-PBE.

Output
Space-group type: Cm (8)
Excess energy over the best structure of this formula in the dataset, eV/atom: 0.191
Formation energy from raw total energies, meV per atom: 555.9

Lattice parameters (Å, degrees): 4.7392 4.7392 4.5366 84.34 84.34 38.33
Positions (direct):
Br (0.2737, 0.2737, 0.2347)
Cr (0.7363, 0.7363, 0.7392)
Cr (0.0158, 0.0158, 0.9748)
Ni (0.4742, 0.4742, 0.5512)

=====

This record from Alexandria via LeMat-Bulk describes KNpGa2S6 after structural relaxation. The functional is GGA-PBE.

Output
Space-group type: C2/c (15)
Formation energy from raw total energies, meV per atom: -848.5

Lattice parameters (Å, degrees): 7.1614 9.0748 9.0748 87.32 75.68 75.68
Positions (direct):
K (0.2500, 0.9214, 0.0786)
Ga (0.3865, 0.7858, 0.6228)
Np (0.7500, 0.7146, 0.2854)
S (0.2946, 0.2521, 0.9972)
Ga (0.8865, 0.6228, 0.7858)
S (0.2301, 0.5906, 0.7322)
Np (0.2500, 0.2854, 0.7146)
S (0.7946, 0.9972, 0.2521)
K (0.7500, 0.0786, 0.9214)
S (0.3777, 0.7939, 0.3734)
S (0.1223, 0.6266, 0.2061)
S (0.6223, 0.2061, 0.6266)
S (0.2054, 0.0028, 0.7479)
S (0.7054, 0.7479, 0.0028)
S (0.7301, 0.7322, 0.5906)
S (0.8777, 0.3734, 0.7939)
S (0.2699, 0.2678, 0.4094)
S (0.7699, 0.4094, 0.2678)
Ga (0.1135, 0.3772, 0.2142)
Ga (0.6135, 0.2142, 0.3772)